No. 1
{
  "formula": "LaTlAsHCl",
  "functional": "GGA-PBE",
  "state": "relaxed",
  "cell": [[4.0506, 0.0000, 0.0000], [1.5197, 3.7552, 0.0000], [1.4119, 0.9239, 8.7551]],
  "species": ["La", "Tl", "As", "H", "Cl"],
  "frac_coords": [[0.0000, 0.0000, 0.0000], [0.8730, 0.8681, 0.5662], [0.4173, 0.4152, 0.7918], [0.1923, 0.1897, 0.7457], [0.2952, 0.2974, 0.2047]],
  "de_polymorph_mev_per_atom": 111.6,
  "density_g_cm3": 5.67
}

---

No. 2
{
  "formula": "LaTlAsHCl",
  "functional": "GGA-PBE",
  "state": "relaxed",
  "cell": [[3.9742, 0.0000, 0.0000], [1.9838, 3.4567, 0.0000], [0.0511, 0.0528, 9.5359]],
  "species": ["La", "Tl", "As", "H", "Cl"],
  "frac_coords": [[0.0000, 0.0000, 0.0000], [0.9978, 0.9918, 0.4503], [0.3316, 0.3310, 0.2343], [0.6669, 0.6655, 0.0124], [0.3342, 0.3366, 0.8081]],
  "de_polymorph_mev_per_atom": 0.0,
  "density_g_cm3": 5.76
}

---

No. 3
{
  "formula": "LaTlAsHCl",
  "functional": "GGA-PBE",
  "state": "relaxed",
  "cell": [[3.6451, -2.1045, 0.0000], [3.6451, 2.1045, 0.0000], [-2.3759, 0.0000, 8.1874]],
  "species": ["La", "Tl", "As", "H", "Cl"],
  "frac_coords": [[0.0000, 0.0000, 0.0000], [0.1963, 0.1963, 0.5791], [0.5885, 0.5885, 0.7601], [0.3292, 0.3292, 0.9875], [0.7366, 0.7366, 0.2143]],
  "de_polymorph_mev_per_atom": 4.6,
  "density_g_cm3": 6.01
}

---

No. 4
{
  "formula": "LaTlAsHCl",
  "functional": "GGA-PBE",
  "state": "relaxed",
  "cell": [[1.9923, 1.1502, 9.5297], [-1.9923, 1.1502, 9.5297], [0.0000, -2.3005, 9.5297]],
  "species": ["La", "Tl", "As", "H", "Cl"],
  "frac_coords": [[0.0000, 0.0000, 0.0000], [0.1500, 0.1500, 0.1500], [0.7447, 0.7447, 0.7447], [0.3376, 0.3376, 0.3376], [0.6026, 0.6026, 0.6026]],
  "de_polymorph_mev_per_atom": 0.0,
  "density_g_cm3": 5.76
}

---

| no. | total energy (eV/cell) |
| --- | --- |
| 1 | -21.1 |
| 2 | -21.7 |
| 3 | -21.6 |
| 4 | -21.7 |